Compound: ZnCoCl2F
Source: Alexandria
Functional: PBE+U
Structure: optimized geometry

Cell lengths 4.535, 5.423, 4.535 Å; angles 90.00, 90.00, 90.00 degrees
Each line ends with the local moment (μB).
Fractional coordinates of all 5 atoms:
Zn1 0.000 0.000 0.000  -0.05
F1 0.500 0.500 0.500  -0.02
Co1 0.000 0.500 0.000  2.34
Cl1 0.000 0.000 0.500  -0.03
Cl2 0.500 0.000 0.000  -0.02

**Final energy**: -2.39 eV per atom
**Space-group type**: P4/mmm (123)